(1)
# GGA-PBE ZrSi2Au, relaxed
# Raw formation energy: -118 meV per atom
# Density: 7.7 g/cm³
# Symmetry: I-42d, No. 122
# DOS(E_F): 5.6 states/eV per cell
data_ZrSi2Au
_chemical_formula_sum 'Zr2 Si4 Au2'
_symmetry_space_group_name_H-M 'P 1'
_symmetry_Int_Tables_number 1
_cell_length_a 7.0558
_cell_length_b 7.0558
_cell_length_c 5.8151
_cell_angle_alpha 52.65
_cell_angle_beta 52.65
_cell_angle_gamma 90.00
loop_
_symmetry_equiv_pos_as_xyz
'x,y,z'
loop_
_atom_site_label
_atom_site_type_symbol
_atom_site_fract_x
_atom_site_fract_y
_atom_site_fract_z
Zr1 Zr 0.2500 0.7500 0.5000
Au1 Au 0.0000 0.0000 0.0000
Si1 Si 0.0943 0.6250 0.2500
Si2 Si 0.3750 0.3443 0.7500
Si3 Si 0.8750 0.9057 0.7500
Zr2 Zr 0.5000 0.5000 0.0000
Si4 Si 0.6557 0.1250 0.2500
Au2 Au 0.7500 0.2500 0.5000



(2)
# GGA-PBE Zr2SiAu, relaxed
# Raw formation energy: -220 meV per atom
# Density: 8.6 g/cm³
# Symmetry: R-3m, No. 166
# DOS(E_F): 3.3 states/eV per cell
data_Zr2SiAu
_chemical_formula_sum 'Zr2 Si1 Au1'
_symmetry_space_group_name_H-M 'P 1'
_symmetry_Int_Tables_number 1
_cell_length_a 9.3979
_cell_length_b 9.3979
_cell_length_c 9.3979
_cell_angle_alpha 19.24
_cell_angle_beta 19.24
_cell_angle_gamma 19.24
loop_
_symmetry_equiv_pos_as_xyz
'x,y,z'
loop_
_atom_site_label
_atom_site_type_symbol
_atom_site_fract_x
_atom_site_fract_y
_atom_site_fract_z
Si1 Si 0.7500 0.7500 0.7500
Zr1 Zr 0.0029 0.0029 0.0029
Zr2 Zr 0.4971 0.4971 0.4971
Au1 Au 0.2500 0.2500 0.2500



(3)
# GGA-PBE Zr2SiAu, relaxed
# Raw formation energy: -500 meV per atom
# Density: 9.0 g/cm³
# Symmetry: P2/m, No. 10
# DOS(E_F): 3.7 states/eV per cell
data_Zr2SiAu
_chemical_formula_sum 'Zr2 Si1 Au1'
_symmetry_space_group_name_H-M 'P 1'
_symmetry_Int_Tables_number 1
_cell_length_a 4.0511
_cell_length_b 3.1304
_cell_length_c 6.5671
_cell_angle_alpha 65.00
_cell_angle_beta 90.00
_cell_angle_gamma 90.00
loop_
_symmetry_equiv_pos_as_xyz
'x,y,z'
loop_
_atom_site_label
_atom_site_type_symbol
_atom_site_fract_x
_atom_site_fract_y
_atom_site_fract_z
Zr1 Zr 0.0000 0.5204 0.5084
Zr2 Zr 0.0000 0.9796 0.9916
Si1 Si 0.5000 0.7500 0.7500
Au1 Au 0.5000 0.2500 0.2500



(4)
# GGA-PBE Zr4SiAu, relaxed
# ΔE to the lowest computed polymorph: 0 meV/atom
# Raw formation energy: -544 meV per atom
# Density: 8.0 g/cm³
# Symmetry: P4/mcc, No. 124
# DOS(E_F): 12.2 states/eV per cell
data_Zr4SiAu
_chemical_formula_sum 'Zr8 Si2 Au2'
_symmetry_space_group_name_H-M 'P 1'
_symmetry_Int_Tables_number 1
_cell_length_a 5.3940
_cell_length_b 6.7414
_cell_length_c 6.7414
_cell_angle_alpha 90.00
_cell_angle_beta 90.00
_cell_angle_gamma 90.00
loop_
_symmetry_equiv_pos_as_xyz
'x,y,z'
loop_
_atom_site_label
_atom_site_type_symbol
_atom_site_fract_x
_atom_site_fract_y
_atom_site_fract_z
Au1 Au 0.2500 0.0000 0.0000
Au2 Au 0.7500 0.0000 0.0000
Si1 Si 0.2500 0.5000 0.5000
Zr1 Zr 0.0000 0.3538 0.1643
Zr2 Zr 0.0000 0.8357 0.3538
Zr3 Zr 0.0000 0.6462 0.8357
Zr4 Zr 0.5000 0.3538 0.8357
Zr5 Zr 0.0000 0.1643 0.6462
Zr6 Zr 0.5000 0.6462 0.1643
Zr7 Zr 0.5000 0.1643 0.3538
Si2 Si 0.7500 0.5000 0.5000
Zr8 Zr 0.5000 0.8357 0.6462



(5)
# GGA-PBE Zr2SiAu, relaxed
# Raw formation energy: -384 meV per atom
# Density: 8.4 g/cm³
# Symmetry: P4mm, No. 99
# DOS(E_F): 3.7 states/eV per cell
data_Zr2SiAu
_chemical_formula_sum 'Zr2 Si1 Au1'
_symmetry_space_group_name_H-M 'P 1'
_symmetry_Int_Tables_number 1
_cell_length_a 3.7499
_cell_length_b 3.7542
_cell_length_c 5.7132
_cell_angle_alpha 90.00
_cell_angle_beta 90.00
_cell_angle_gamma 90.00
loop_
_symmetry_equiv_pos_as_xyz
'x,y,z'
loop_
_atom_site_label
_atom_site_type_symbol
_atom_site_fract_x
_atom_site_fract_y
_atom_site_fract_z
Au1 Au 0.0000 0.0000 0.4796
Zr1 Zr 0.5000 0.5000 0.2753
Si1 Si 0.5000 0.5000 0.7895
Zr2 Zr 0.0000 0.0000 0.9556



(6)
# GGA-PBE Zr4SiAu, relaxed
# ΔE to the lowest computed polymorph: 831 meV/atom
# Raw formation energy: 287 meV per atom
# Density: 7.8 g/cm³
# Symmetry: F-43m, No. 216
# DOS(E_F): 4.8 states/eV per cell
data_Zr4SiAu
_chemical_formula_sum 'Zr4 Si1 Au1'
_symmetry_space_group_name_H-M 'P 1'
_symmetry_Int_Tables_number 1
_cell_length_a 5.6257
_cell_length_b 5.6257
_cell_length_c 5.6257
_cell_angle_alpha 60.00
_cell_angle_beta 60.00
_cell_angle_gamma 60.00
loop_
_symmetry_equiv_pos_as_xyz
'x,y,z'
loop_
_atom_site_label
_atom_site_type_symbol
_atom_site_fract_x
_atom_site_fract_y
_atom_site_fract_z
Zr1 Zr 0.3743 0.3743 0.3743
Zr2 Zr 0.3743 0.3743 0.8772
Zr3 Zr 0.8772 0.3743 0.3743
Si1 Si 0.0000 0.0000 0.0000
Au1 Au 0.7500 0.7500 0.7500
Zr4 Zr 0.3743 0.8772 0.3743



(7)
# GGA-PBE SmAu6, relaxed
# ΔE to the lowest computed polymorph: 0 meV/atom
# Density: 15.9 g/cm³
# Formation energy from the elements: -0.418 eV/atom
# Symmetry: P4_2/ncm, No. 138
# DOS(E_F): 18.6 states/eV per cell
data_SmAu6
_chemical_formula_sum 'Sm8 Au48'
_symmetry_space_group_name_H-M 'P 1'
_symmetry_Int_Tables_number 1
_cell_length_a 9.9467
_cell_length_b 10.5745
_cell_length_c 10.5745
_cell_angle_alpha 90.00
_cell_angle_beta 90.00
_cell_angle_gamma 90.00
loop_
_symmetry_equiv_pos_as_xyz
'x,y,z'
loop_
_atom_site_label
_atom_site_type_symbol
_atom_site_fract_x
_atom_site_fract_y
_atom_site_fract_z
Au1 Au 0.6049 0.4480 0.6265
Au2 Au 0.8282 0.4311 0.2636
Au3 Au 0.7500 0.7500 0.2500
Sm1 Sm 0.5387 0.3245 0.1755
Au4 Au 0.7500 0.2500 0.7500
Au5 Au 0.1049 0.5520 0.6265
Au6 Au 0.1718 0.2636 0.5689
Au7 Au 0.8951 0.6265 0.4480
Au8 Au 0.3951 0.6265 0.5520
Au9 Au 0.3951 0.9480 0.8735
Au10 Au 0.5692 0.3968 0.8968
Au11 Au 0.9308 0.1032 0.6032
Au12 Au 0.4308 0.8968 0.6032
Au13 Au 0.2500 0.2500 0.2500
Au14 Au 0.1049 0.4480 0.3735
Au15 Au 0.6718 0.2636 0.4311
Au16 Au 0.3142 0.5000 0.0000
Sm2 Sm 0.4613 0.1755 0.6755
Au17 Au 0.3282 0.5689 0.2636
Au18 Au 0.8282 0.7636 0.9311
Au19 Au 0.1049 0.1265 0.0520
Au20 Au 0.3282 0.7636 0.0689
Au21 Au 0.6718 0.9311 0.7636
Au22 Au 0.3282 0.4311 0.7364
Au23 Au 0.5692 0.6032 0.1032
Au24 Au 0.6718 0.0689 0.2364
Sm3 Sm 0.9613 0.8245 0.6755
Au25 Au 0.9308 0.8968 0.3968
Au26 Au 0.2500 0.7500 0.7500
Au27 Au 0.6858 0.0000 0.5000
Au28 Au 0.1858 0.0000 0.5000
Au29 Au 0.8282 0.2364 0.0689
Au30 Au 0.1718 0.7364 0.4311
Au31 Au 0.6049 0.1265 0.9480
Au32 Au 0.6049 0.5520 0.3735
Sm4 Sm 0.0387 0.6755 0.1755
Sm5 Sm 0.5387 0.6755 0.8245
Au33 Au 0.6718 0.7364 0.5689
Au34 Au 0.8282 0.5689 0.7364
Au35 Au 0.8951 0.9480 0.1265
Au36 Au 0.1718 0.0689 0.7636
Au37 Au 0.6049 0.8735 0.0520
Au38 Au 0.1718 0.9311 0.2364
Sm6 Sm 0.9613 0.1755 0.3245
Sm7 Sm 0.4613 0.8245 0.3245
Au39 Au 0.4308 0.1032 0.3968
Au40 Au 0.8142 0.5000 0.0000
Au41 Au 0.0692 0.3968 0.1032
Au42 Au 0.0692 0.6032 0.8968
Au43 Au 0.3282 0.2364 0.9311
Sm8 Sm 0.0387 0.3245 0.8245
Au44 Au 0.8951 0.0520 0.8735
Au45 Au 0.3951 0.0520 0.1265
Au46 Au 0.3951 0.3735 0.4480
Au47 Au 0.8951 0.3735 0.5520
Au48 Au 0.1049 0.8735 0.9480



(8)
# GGA-PBE Sm3Au5, relaxed
# Density: 12.6 g/cm³
# Formation energy from the elements: -0.782 eV/atom
# Symmetry: P-62m, No. 189
# DOS(E_F): 5.1 states/eV per cell
data_Sm3Au5
_chemical_formula_sum 'Sm3 Au5'
_symmetry_space_group_name_H-M 'P 1'
_symmetry_Int_Tables_number 1
_cell_length_a 3.8821
_cell_length_b 7.5085
_cell_length_c 7.5085
_cell_angle_alpha 120.00
_cell_angle_beta 90.00
_cell_angle_gamma 90.00
loop_
_symmetry_equiv_pos_as_xyz
'x,y,z'
loop_
_atom_site_label
_atom_site_type_symbol
_atom_site_fract_x
_atom_site_fract_y
_atom_site_fract_z
Sm1 Sm 0.5000 0.0000 0.6240
Sm2 Sm 0.5000 0.6240 0.0000
Au1 Au 0.0000 0.7662 0.7662
Au2 Au 0.0000 0.6667 0.3333
Au3 Au 0.0000 0.0000 0.2338
Sm3 Sm 0.5000 0.3760 0.3760
Au4 Au 0.0000 0.2338 0.0000
Au5 Au 0.0000 0.3333 0.6667



(9)
# GGA-PBE Sm3Au2, relaxed
# ΔE to the lowest computed polymorph: 100 meV/atom
# Density: 9.8 g/cm³
# Formation energy from the elements: -0.557 eV/atom
# Symmetry: C2/m, No. 12
# DOS(E_F): 14.8 states/eV per cell
data_Sm3Au2
_chemical_formula_sum 'Sm9 Au6'
_symmetry_space_group_name_H-M 'P 1'
_symmetry_Int_Tables_number 1
_cell_length_a 5.1139
_cell_length_b 8.1913
_cell_length_c 10.8488
_cell_angle_alpha 91.36
_cell_angle_beta 90.00
_cell_angle_gamma 108.19
loop_
_symmetry_equiv_pos_as_xyz
'x,y,z'
loop_
_atom_site_label
_atom_site_type_symbol
_atom_site_fract_x
_atom_site_fract_y
_atom_site_fract_z
Sm1 Sm 0.8333 0.6666 0.6667
Au1 Au 0.3430 0.6860 0.4900
Sm2 Sm 0.8322 0.6643 0.3349
Sm3 Sm 0.5012 0.0023 0.3318
Au2 Au 0.0097 0.0194 0.8233
Au3 Au 0.6570 0.3140 0.5100
Sm4 Sm 0.4988 0.9977 0.6682
Sm5 Sm 0.5000 0.0000 0.0000
Au4 Au 0.9903 0.9806 0.1767
Au5 Au 0.3236 0.6473 0.8434
Sm6 Sm 0.1655 0.3310 0.0016
Sm7 Sm 0.1678 0.3357 0.6651
Sm8 Sm 0.8345 0.6690 0.9984
Au6 Au 0.6764 0.3527 0.1566
Sm9 Sm 0.1667 0.3334 0.3333



(10)
# GGA-PBE SmAu2, relaxed
# Density: 13.7 g/cm³
# Formation energy from the elements: -0.524 eV/atom
# Symmetry: Fd-3m, No. 227
# DOS(E_F): 6.3 states/eV per cell
data_SmAu2
_chemical_formula_sum 'Sm2 Au4'
_symmetry_space_group_name_H-M 'P 1'
_symmetry_Int_Tables_number 1
_cell_length_a 5.7197
_cell_length_b 5.7197
_cell_length_c 5.7197
_cell_angle_alpha 60.00
_cell_angle_beta 60.00
_cell_angle_gamma 60.00
loop_
_symmetry_equiv_pos_as_xyz
'x,y,z'
loop_
_atom_site_label
_atom_site_type_symbol
_atom_site_fract_x
_atom_site_fract_y
_atom_site_fract_z
Sm1 Sm 0.2500 0.2500 0.2500
Au1 Au 0.6250 0.6250 0.6250
Au2 Au 0.6250 0.1250 0.6250
Au3 Au 0.6250 0.6250 0.1250
Sm2 Sm 0.0000 0.0000 0.0000
Au4 Au 0.1250 0.6250 0.6250



(11)
# GGA-PBE Sm3Au2, relaxed
# ΔE to the lowest computed polymorph: 0 meV/atom
# Density: 10.4 g/cm³
# Formation energy from the elements: -0.657 eV/atom
# Symmetry: P4/mbm, No. 127
# DOS(E_F): 10.5 states/eV per cell
data_Sm3Au2
_chemical_formula_sum 'Sm6 Au4'
_symmetry_space_group_name_H-M 'P 1'
_symmetry_Int_Tables_number 1
_cell_length_a 3.8779
_cell_length_b 8.3358
_cell_length_c 8.3358
_cell_angle_alpha 90.00
_cell_angle_beta 90.00
_cell_angle_gamma 90.00
loop_
_symmetry_equiv_pos_as_xyz
'x,y,z'
loop_
_atom_site_label
_atom_site_type_symbol
_atom_site_fract_x
_atom_site_fract_y
_atom_site_fract_z
Sm1 Sm 0.5000 0.3357 0.1643
Au1 Au 0.0000 0.6297 0.1297
Au2 Au 0.0000 0.8703 0.6297
Au3 Au 0.0000 0.1297 0.3703
Au4 Au 0.0000 0.3703 0.8703
Sm2 Sm 0.5000 0.8357 0.3357
Sm3 Sm 0.5000 0.1643 0.6643
Sm4 Sm 0.0000 0.0000 0.0000
Sm5 Sm 0.5000 0.6643 0.8357
Sm6 Sm 0.0000 0.5000 0.5000



(12)
# GGA-PBE Sm2Au3, relaxed
# ΔE to the lowest computed polymorph: 0 meV/atom
# Density: 12.2 g/cm³
# Formation energy from the elements: -0.777 eV/atom
# Symmetry: Cmcm, No. 63
# DOS(E_F): 7.3 states/eV per cell
data_Sm2Au3
_chemical_formula_sum 'Sm4 Au6'
_symmetry_space_group_name_H-M 'P 1'
_symmetry_Int_Tables_number 1
_cell_length_a 3.6918
_cell_length_b 4.6439
_cell_length_c 14.3214
_cell_angle_alpha 90.00
_cell_angle_beta 97.41
_cell_angle_gamma 90.00
loop_
_symmetry_equiv_pos_as_xyz
'x,y,z'
loop_
_atom_site_label
_atom_site_type_symbol
_atom_site_fract_x
_atom_site_fract_y
_atom_site_fract_z
Au1 Au 0.8174 0.2500 0.6347
Au2 Au 0.8792 0.7500 0.7585
Sm1 Sm 0.4287 0.2500 0.8574
Au3 Au 0.9751 0.7500 0.9502
Au4 Au 0.1826 0.7500 0.3653
Sm2 Sm 0.2947 0.7500 0.5894
Sm3 Sm 0.7053 0.2500 0.4106
Sm4 Sm 0.5713 0.7500 0.1426
Au5 Au 0.0249 0.2500 0.0498
Au6 Au 0.1208 0.2500 0.2415